# SmSiSn

A geometry-optimized SmSiSn structure (GGA-PBE, the Open Quantum Materials Database).

## Properties
Total magnetic moment   0.0 μB/cell
Space-group type   F-43m (216)
E   -13.91 eV for the cell shown
Theoretical density   5.658 g/cm³

a = 4.9776 Å, b = 4.9776 Å, c = 4.9776 Å
α = 60.00°, β = 60.00°, γ = 60.00°
Last column: nearest neighbours and their distance in Å.
Atoms (fractional coordinates):
Sm: 0.0000 0.0000 0.0000  4 Si 3.05, 4 Sn 3.05
Si: 0.2500 0.2500 0.2500  4 Sm 3.05
Sn: 0.7500 0.7500 0.7500  4 Sm 3.05



# KTmTc

A geometry-optimized KTmTc structure (GGA-PBE, the Open Quantum Materials Database).

## Properties
Total magnetic moment   1.4 μB/cell
Space-group type   F-43m (216)
ΔE to the lowest computed polymorph   0.0 meV per atom
E   -11.06 eV for the cell shown
Theoretical density   5.705 g/cm³

a = 5.0129 Å, b = 5.0129 Å, c = 5.0129 Å
α = 60.00°, β = 60.00°, γ = 60.00°
Last column: nearest neighbours and their distance in Å.
Atoms (fractional coordinates):
K: 0.2500 0.2500 0.2500  4 Tm 3.07
Tm: 0.0000 0.0000 0.0000  4 K 3.07, 4 Tc 3.07
Tc: 0.7500 0.7500 0.7500  4 Tm 3.07



# SmGaSiIr2

A geometry-optimized SmGaSiIr2 structure (GGA-PBE, the Open Quantum Materials Database).

## Properties
Total magnetic moment   0.0 μB/cell
Space-group type   I4mm (107)
ΔE to the lowest computed polymorph   20.0 meV per atom
E   -35.49 eV for the cell shown
Theoretical density   11.850 g/cm³

a = 5.8744 Å, b = 5.8744 Å, c = 5.8744 Å
α = 138.33°, β = 138.33°, γ = 60.39°
Last column: nearest neighbours and their distance in Å.
Atoms (fractional coordinates):
Ir: 0.2433 0.7433 0.5000  2 Si 2.38, 2 Ga 2.52
Ir: 0.7433 0.2433 0.5000  2 Si 2.38, 2 Ga 2.52
Ga: 0.3822 0.3822 0.0000  4 Ir 2.52, 1 Si 2.52
Sm: 0.0005 0.0005 0.0000  4 Ga 3.19, 8 Ir 3.23-3.34, 4 Si 3.24
Si: 0.6308 0.6308 0.0000  4 Ir 2.38, 1 Ga 2.52



# CoTcB2

A geometry-optimized CoTcB2 structure (GGA-PBE, the Open Quantum Materials Database).

## Properties
Total magnetic moment   1.1 μB/cell
Space-group type   F-43m (216)
E   -27.59 eV for the cell shown
Theoretical density   7.683 g/cm³

a = 3.7931 Å, b = 3.7931 Å, c = 3.7931 Å
α = 60.00°, β = 60.00°, γ = 60.00°
Last column: nearest neighbours and their distance in Å.
Atoms (fractional coordinates):
B: 0.5000 0.5000 0.5000  4 B 2.32, 4 Tc 2.32
B: 0.7500 0.7500 0.7500  4 Co 2.32, 4 B 2.32
Tc: 0.2500 0.2500 0.2500  4 Co 2.32, 4 B 2.32
Co: 0.0000 0.0000 0.0000  4 B 2.32, 4 Tc 2.32